(1)
## NaTl2CdI6 (PBE)

Data for a geometry-optimized NaTl2CdI6 structure.

abc: 8.0956 8.0934 8.8071
angles: 62.65 62.63 60.03
Positions (direct):
I (0.0797, 0.4735, 0.7473)
I (0.4735, 0.6997, 0.7471)
Tl (0.0216, 0.0216, 0.9349)
Cd (0.8285, 0.8282, 0.5151)
I (0.6994, 0.0798, 0.7472)
I (0.6004, 0.2084, 0.2693)
I (0.9218, 0.6002, 0.2693)
Na (0.3189, 0.3190, 0.0437)
I (0.2086, 0.9218, 0.2694)
Tl (0.5092, 0.5094, 0.4719)

Calculated values
Energy relative to the elements, uncorrected (eV/atom): -0.614
Space-group type: R3
Final energy (eV per atom): -2.241
D(E_F) (states/eV per cell): 6.2



(2)
## NaTlCd2I6 (PBE)

Data for a geometry-optimized NaTlCd2I6 structure.

abc: 8.0686 10.7257 10.7257
angles: 87.82 82.60 82.60
Positions (direct):
Cd (0.2807, 0.3908, 0.2187)
I (0.3962, 0.8612, 0.3866)
Na (0.2500, 0.2757, 0.7243)
I (0.8384, 0.0227, 0.2170)
I (0.1018, 0.2869, 0.4397)
I (0.3384, 0.2170, 0.0227)
Cd (0.7807, 0.2187, 0.3908)
Cd (0.7193, 0.6092, 0.7813)
I (0.6038, 0.1388, 0.6134)
I (0.6616, 0.7830, 0.9773)
Cd (0.2193, 0.7813, 0.6092)
Tl (0.7500, 0.0980, 0.9020)
I (0.6018, 0.4397, 0.2869)
I (0.8982, 0.7131, 0.5603)
I (0.3982, 0.5603, 0.7131)
Na (0.7500, 0.7243, 0.2757)
I (0.8962, 0.3866, 0.8612)
Tl (0.2500, 0.9020, 0.0980)
I (0.1038, 0.6134, 0.1388)
I (0.1616, 0.9773, 0.7830)

Calculated values
Energy relative to the elements, uncorrected (eV/atom): -0.721
Space-group type: C2/c
Final energy (eV per atom): -2.203
D(E_F) (states/eV per cell): 0.0



(3)
## NaTlCdI4 (PBE)

Data for a geometry-optimized NaTlCdI4 structure.

abc: 7.9047 8.3738 9.3015
angles: 90.00 105.99 90.00
Positions (direct):
I (0.0059, 0.9950, 0.7326)
I (0.9941, 0.4950, 0.2674)
I (0.4733, 0.7500, 0.6097)
Na (0.7652, 0.7500, 0.4311)
Cd (0.2422, 0.7500, 0.3214)
I (0.5539, 0.2500, 0.8817)
I (0.5267, 0.2500, 0.3903)
I (0.4461, 0.7500, 0.1183)
Cd (0.7578, 0.2500, 0.6786)
Na (0.2348, 0.2500, 0.5689)
Tl (0.7917, 0.7500, 0.9524)
I (0.9941, 0.0050, 0.2674)
I (0.0059, 0.5050, 0.7326)
Tl (0.2083, 0.2500, 0.0476)

Calculated values
Energy relative to the elements, uncorrected (eV/atom): -0.774
Space-group type: P2_1/m
Final energy (eV per atom): -2.317
D(E_F) (states/eV per cell): 0.0



(4)
## NaYCd2I (PBE)

Data for a geometry-optimized NaYCd2I structure.

abc: 5.3566 6.1671 5.3566
angles: 90.00 90.00 90.00
Positions (direct):
Y (0.0000, 0.5000, 0.0000)
Cd (0.5000, 0.0000, 0.0000)
Na (0.0000, 0.0000, 0.0000)
I (0.5000, 0.5000, 0.5000)
Cd (0.0000, 0.0000, 0.5000)

Calculated values
Energy relative to the elements, uncorrected (eV/atom): 0.367
Space-group type: P4/mmm
Final energy (eV per atom): -1.866
D(E_F) (states/eV per cell): 5.8



(5)
## NbCdI3 (PBE)

Data for a geometry-optimized NbCdI3 structure.

abc: 5.7213 5.7213 5.7213
angles: 90.00 90.00 90.00
Positions (direct):
I (0.0000, 0.0000, 0.5000)
Cd (0.5000, 0.5000, 0.5000)
Nb (0.0000, 0.0000, 0.0000)
I (0.0000, 0.5000, 0.0000)
I (0.5000, 0.0000, 0.0000)

Calculated values
Energy relative to the elements, uncorrected (eV/atom): 0.022
Space-group type: Pm-3m
Polymorph energy (0 for the lowest one) (eV/atom): 0.000
Final energy (eV per atom): -3.105
D(E_F) (states/eV per cell): 4.0



(6)
## NbCdI (PBE)

Data for a geometry-optimized NbCdI structure.

abc: 3.4776 3.4776 7.4953
angles: 90.00 90.00 120.00
Positions (direct):
Cd (0.3333, 0.6667, 0.3598)
Nb (0.0000, 0.0000, 0.0693)
I (0.3333, 0.6667, 0.8156)

Calculated values
Energy relative to the elements, uncorrected (eV/atom): 0.183
Space-group type: P3m1
Polymorph energy (0 for the lowest one) (eV/atom): 0.095
Final energy (eV per atom): -3.996
D(E_F) (states/eV per cell): 0.6



- Among the records above, which one has the lowest final energy?
  NbCdI



Repeat the second record exactly.
## NaTlCd2I6 (PBE)

Data for a geometry-optimized NaTlCd2I6 structure.

abc: 8.0686 10.7257 10.7257
angles: 87.82 82.60 82.60
Positions (direct):
Cd (0.2807, 0.3908, 0.2187)
I (0.3962, 0.8612, 0.3866)
Na (0.2500, 0.2757, 0.7243)
I (0.8384, 0.0227, 0.2170)
I (0.1018, 0.2869, 0.4397)
I (0.3384, 0.2170, 0.0227)
Cd (0.7807, 0.2187, 0.3908)
Cd (0.7193, 0.6092, 0.7813)
I (0.6038, 0.1388, 0.6134)
I (0.6616, 0.7830, 0.9773)
Cd (0.2193, 0.7813, 0.6092)
Tl (0.7500, 0.0980, 0.9020)
I (0.6018, 0.4397, 0.2869)
I (0.8982, 0.7131, 0.5603)
I (0.3982, 0.5603, 0.7131)
Na (0.7500, 0.7243, 0.2757)
I (0.8962, 0.3866, 0.8612)
Tl (0.2500, 0.9020, 0.0980)
I (0.1038, 0.6134, 0.1388)
I (0.1616, 0.9773, 0.7830)

Calculated values
Energy relative to the elements, uncorrected (eV/atom): -0.721
Space-group type: C2/c
Final energy (eV per atom): -2.203
D(E_F) (states/eV per cell): 0.0